CoNiP2O: optimized geometry, PBE with a Hubbard U.

a = 4.0006 Å, b = 4.0006 Å, c = 4.7777 Å
α = 90.00°, β = 90.00°, γ = 90.00°
Space group P4/mmm (No. 123)
Asymmetric unit:
Co 0.0000 0.0000 0.0000
Ni 0.0000 0.0000 0.5000
P 0.0000 0.5000 0.0000
O 0.5000 0.5000 0.5000

V: 15.3 Å³ per atom
Calculated density: 4.2 Mg/m³
Relative energy among the computed polymorphs: 363 meV/atom
M_tot: 2.48 μB/cell
Final energy: -3.83 eV/atom